VASP calculation (PBE) on a geometry-optimized LiPmPrGa structure.

Lattice parameters (Å, degrees): 5.263 5.263 5.263 60.00 60.00 60.00
Fractional coordinates of all 4 atoms:
Pr: 0.500 0.500 0.500
Li: 0.750 0.750 0.750
Ga: 0.250 0.250 0.250
Pm: 0.000 0.000 0.000

Values from the calculation:
Its space group is No. 216. As for the energy of formation: -0.294 eV/atom.

VASP calculation (PBE) on a geometry-optimized CsP3I structure.

Lattice parameters (Å, degrees): 5.393 5.393 5.393 90.00 90.00 90.00
Site moments in Bohr magnetons follow the coordinates.
Fractional coordinates of all 5 atoms:
Cs: 0.500 0.500 0.500  0.02
I: 0.000 0.000 0.000  0.00
P: 0.000 0.500 0.000  0.23
P: 0.000 0.000 0.500  0.37
P: 0.500 0.000 0.000  0.21

Values from the calculation:
As for the energy relative to the elements, uncorrected: 1022 meV/atom. Its space group is No. 221.

VASP calculation (PBE) on a geometry-optimized NiAg4As structure.

Lattice parameters (Å, degrees): 5.407 5.407 5.407 60.00 60.00 60.00
Fractional coordinates of all 6 atoms:
Ni: 0.000 0.000 0.000
Ag: 0.876 0.375 0.375
Ag: 0.375 0.375 0.876
Ag: 0.375 0.876 0.375
Ag: 0.375 0.375 0.375
As: 0.750 0.750 0.750

Values from the calculation:
Its space group is No. 216. As for the energy of formation: 0.484 eV/atom.